Entry 1:
{"formula": "Tb3Pm6Ho2Er", "functional": "PBE-GGA", "state": "optimized geometry", "final_energy_ev_per_atom": -4.664, "dos_ef_per_ev_cell": 14.00, "cell": [[6.238, 0.000, 0.009], [-3.118, 5.403, 0.009], [-1.053, -1.822, 11.650]], "species": ["Ho", "Ho", "Tb", "Tb", "Tb", "Pm", "Pm", "Pm", "Pm", "Pm", "Pm", "Er"], "fractional_positions": [[0.667, 0.333, 0.000], [0.333, 0.667, 0.000], [0.833, 0.167, 0.500], [0.500, 0.500, 0.500], [0.167, 0.833, 0.500], [0.084, 0.417, 0.249], [0.916, 0.583, 0.751], [0.583, 0.916, 0.751], [0.250, 0.250, 0.751], [0.417, 0.084, 0.249], [0.750, 0.750, 0.249], [0.000, 0.000, 0.000]]}

***

Entry 2:
{"formula": "Tb6PmHoEr2", "functional": "PBE-GGA", "state": "optimized geometry", "final_energy_ev_per_atom": -4.504, "dos_ef_per_ev_cell": 28.77, "cell": [[9.083, -1.983, -2.058], [0.826, 8.510, -1.992], [0.826, -2.306, 8.431]], "species": ["Tb", "Tb", "Tb", "Tb", "Tb", "Tb", "Tb", "Tb", "Tb", "Tb", "Tb", "Tb", "Er", "Er", "Er", "Er", "Pm", "Pm", "Ho", "Ho"], "fractional_positions": [[0.683, 0.016, 0.565], [0.556, 0.753, 0.121], [0.444, 0.247, 0.879], [0.317, 0.984, 0.435], [0.619, 0.491, 0.708], [0.183, 0.565, 0.016], [0.944, 0.879, 0.247], [0.817, 0.435, 0.984], [0.056, 0.121, 0.753], [0.881, 0.292, 0.509], [0.381, 0.509, 0.292], [0.119, 0.708, 0.491], [0.954, 0.696, 0.800], [0.454, 0.800, 0.696], [0.546, 0.200, 0.304], [0.046, 0.304, 0.200], [0.750, 0.026, 0.974], [0.250, 0.974, 0.026], [0.250, 0.410, 0.590], [0.750, 0.590, 0.410]]}